Here is a relaxed structure of AcBe2GeN from Alexandria via LeMat-Bulk. Energies are from PBE-GGA.

## Properties
Uncorrected formation energy = -0.658 eV per atom
Energy = -5.5585 eV per atom
Calculated density = 7.1 Mg/m³
Volume = 312.4 Å³ per cell

CIF file:
```
data_AcBe2GeN
_symmetry_space_group_name_H-M 'C m c m'
_symmetry_Int_Tables_number 63
_symmetry_space_group_name_Hall '-C 2c 2'
_cell_length_a 4.0159
_cell_length_b 11.2879
_cell_length_c 6.8914
_cell_angle_alpha 90.00
_cell_angle_beta 90.00
_cell_angle_gamma 90.00
loop_
_atom_site_label
_atom_site_fract_x
_atom_site_fract_y
_atom_site_fract_z
Ac1 0.0000 0.0718 0.2500
Be1 0.0000 0.3682 0.0849
Ge1 0.0000 0.2107 0.7500
N1 0.0000 0.5000 0.0000
```

Here is a relaxed structure of SbPdI2Cl from Alexandria via LeMat-Bulk. Energies are from PBE-GGA.

## Properties
Uncorrected formation energy = 0.156 eV per atom
Energy = -2.6968 eV per atom
Calculated density = 5.5 Mg/m³
Volume = 156.4 Å³ per cell
Offset from the most stable computed form = 0 meV/atom

CIF file:
```
data_SbPdI2Cl
_symmetry_space_group_name_H-M 'P 4/m m m'
_symmetry_Int_Tables_number 123
_symmetry_space_group_name_Hall '-P 4 2'
_cell_length_a 5.4347
_cell_length_b 5.4347
_cell_length_c 5.2951
_cell_angle_alpha 90.00
_cell_angle_beta 90.00
_cell_angle_gamma 90.00
loop_
_atom_site_label
_atom_site_fract_x
_atom_site_fract_y
_atom_site_fract_z
Sb1 0.0000 0.0000 0.0000
Pd1 0.0000 0.0000 0.5000
I1 0.0000 0.5000 0.5000
Cl1 0.5000 0.5000 0.0000
```

Here is a relaxed structure of SrRe2S2 from Alexandria via LeMat-Bulk. Energies are from PBE-GGA.

## Properties
Uncorrected formation energy = 0.473 eV per atom
Energy = -6.4935 eV per atom
Calculated density = 9.4 Mg/m³
Volume = 184.2 Å³ per cell
Offset from the most stable computed form = 786 meV/atom

CIF file:
```
data_SrRe2S2
_symmetry_space_group_name_H-M 'P 4/m b m'
_symmetry_Int_Tables_number 127
_symmetry_space_group_name_Hall '-P 4 2ab'
_cell_length_a 7.8398
_cell_length_b 7.8398
_cell_length_c 2.9973
_cell_angle_alpha 90.00
_cell_angle_beta 90.00
_cell_angle_gamma 90.00
loop_
_atom_site_label
_atom_site_fract_x
_atom_site_fract_y
_atom_site_fract_z
Sr1 0.0000 0.0000 0.0000
Re1 0.1178 0.3822 0.5000
S1 0.1322 0.6322 0.0000
```

Here is a relaxed structure of Ba4PtI6 from Alexandria via LeMat-Bulk. Energies are from PBE-GGA.

## Properties
Uncorrected formation energy = -1.543 eV per atom
Energy = -3.6365 eV per atom
Calculated density = 4.7 Mg/m³
Volume = 1063.6 Å³ per cell

CIF file:
```
data_Ba4PtI6
_symmetry_space_group_name_H-M 'P 42/n m c'
_symmetry_Int_Tables_number 137
_cell_length_a 11.3328
_cell_length_b 11.3328
_cell_length_c 8.2813
_cell_angle_alpha 90.00
_cell_angle_beta 90.00
_cell_angle_gamma 90.00
loop_
_symmetry_equiv_pos_as_xyz
'x,y,z'
'-x,-y,-z'
'-y+1/2,x,z+1/2'
'y+1/2,-x,-z+1/2'
'-x+1/2,-y+1/2,z'
'x+1/2,y+1/2,-z'
'y,-x+1/2,z+1/2'
'-y,x+1/2,-z+1/2'
'x+1/2,-y,-z'
'-x+1/2,y,z'
'-y,-x,-z+1/2'
'y,x,z+1/2'
'-x,y+1/2,-z'
'x,-y+1/2,z'
'y+1/2,x+1/2,-z+1/2'
'-y+1/2,-x+1/2,z+1/2'
loop_
_atom_site_label
_atom_site_fract_x
_atom_site_fract_y
_atom_site_fract_z
Ba1 0.0030 0.7500 0.0810
Pt1 0.2500 0.7500 0.2500
I1 0.0420 0.5420 0.7500
I2 0.2500 0.2500 0.1613
```

Here is a relaxed structure of CsRbZn2Ge from Alexandria via LeMat-Bulk. Energies are from PBE-GGA.

## Properties
Energy = -1.7417 eV per atom
Calculated density = 3.1 Mg/m³
Volume = 228.3 Å³ per cell
Offset from the most stable computed form = 36 meV/atom

CIF file:
```
data_CsRbZn2Ge
_symmetry_space_group_name_H-M 'P 1'
_symmetry_Int_Tables_number 1
_symmetry_space_group_name_Hall 'P 1'
_cell_length_a 5.9925
_cell_length_b 6.2597
_cell_length_c 6.7824
_cell_angle_alpha 89.73
_cell_angle_beta 63.82
_cell_angle_gamma 89.97
loop_
_atom_site_label
_atom_site_fract_x
_atom_site_fract_y
_atom_site_fract_z
Cs1 0.0000 0.0000 0.0000
Rb1 0.7165 0.4999 0.5656
Zn1 0.3094 0.8081 0.3822
Zn2 0.3103 0.1975 0.3809
Ge1 0.4178 0.5043 0.1540
```

Here is a relaxed structure of CdInB from Alexandria via LeMat-Bulk. Energies are from PBE-GGA.

## Properties
Energy = -2.9579 eV per atom
Calculated density = 6.6 Mg/m³
Volume = 120.2 Å³ per cell

CIF file:
```
data_CdInB
_symmetry_space_group_name_H-M 'P 1'
_symmetry_Int_Tables_number 1
_symmetry_space_group_name_Hall 'P 1'
_cell_length_a 3.7804
_cell_length_b 5.4210
_cell_length_c 5.8822
_cell_angle_alpha 94.26
_cell_angle_beta 90.01
_cell_angle_gamma 90.05
loop_
_atom_site_label
_atom_site_fract_x
_atom_site_fract_y
_atom_site_fract_z
Cd1 0.0000 0.0000 0.0000
Cd2 0.4982 0.3716 0.4425
In1 0.4987 0.5292 0.9975
In2 0.9972 0.9162 0.4806
B1 0.9982 0.3020 0.7309
B2 0.9985 0.5936 0.7178
```

Here is a relaxed structure of TcI6 from Alexandria via LeMat-Bulk. Energies are from PBE-GGA.

## Properties
Uncorrected formation energy = 0.019 eV per atom
Energy = -2.7906 eV per atom
Calculated density = 4.3 Mg/m³
Volume = 1336.8 Å³ per cell

CIF file:
```
data_TcI6
_symmetry_space_group_name_H-M 'P n m a'
_symmetry_Int_Tables_number 62
_symmetry_space_group_name_Hall '-P 2ac 2n'
_cell_length_a 14.9925
_cell_length_b 12.4990
_cell_length_c 7.1337
_cell_angle_alpha 90.00
_cell_angle_beta 90.00
_cell_angle_gamma 90.00
loop_
_atom_site_label
_atom_site_fract_x
_atom_site_fract_y
_atom_site_fract_z
Tc1 0.1145 0.2500 0.1115
I1 0.0249 0.6215 0.0266
I2 0.0344 0.2500 0.4455
I3 0.1907 0.2500 0.7617
I4 0.2171 0.0862 0.2042
```

Here is a relaxed structure of NaHgBiPd from Alexandria via LeMat-Bulk. Energies are from PBE-GGA.

## Properties
Energy = -2.8342 eV per atom
Calculated density = 10.3 Mg/m³
Volume = 347.9 Å³ per cell

CIF file:
```
data_NaHgBiPd
_symmetry_space_group_name_H-M 'F -4 3 m'
_symmetry_Int_Tables_number 216
_symmetry_space_group_name_Hall 'F -4 2 3'
_cell_length_a 7.0329
_cell_length_b 7.0329
_cell_length_c 7.0329
_cell_angle_alpha 90.00
_cell_angle_beta 90.00
_cell_angle_gamma 90.00
loop_
_atom_site_label
_atom_site_fract_x
_atom_site_fract_y
_atom_site_fract_z
Na1 0.0000 0.0000 0.0000
Hg1 0.2500 0.2500 0.2500
Bi1 0.2500 0.2500 0.7500
Pd1 0.0000 0.0000 0.5000
```

Here is a relaxed structure of Tb10TmSc6 from Alexandria via LeMat-Bulk. Energies are from PBE-GGA.

## Properties
Energy = -5.0852 eV per atom
Calculated density = 6.7 Mg/m³
Volume = 504.1 Å³ per cell

CIF file:
```
data_Tb10TmSc6
_symmetry_space_group_name_H-M 'P -3 1 m'
_symmetry_Int_Tables_number 162
_symmetry_space_group_name_Hall '-P 3 2'
_cell_length_a 9.3703
_cell_length_b 9.3703
_cell_length_c 6.6295
_cell_angle_alpha 90.00
_cell_angle_beta 90.00
_cell_angle_gamma 120.00
loop_
_atom_site_label
_atom_site_fract_x
_atom_site_fract_y
_atom_site_fract_z
Tb1 0.0000 0.2807 0.3185
Tb2 0.3333 0.6667 0.0000
Tb3 0.3333 0.6667 0.5000
Tm1 0.0000 0.0000 0.0000
Sc1 0.0000 0.3658 0.8205
```

Here is a relaxed structure of HOsN3 from Alexandria via LeMat-Bulk. Energies are from PBE-GGA.

## Properties
Energy = -5.4742 eV per atom
Calculated density = 10.7 Mg/m³
Volume = 36.2 Å³ per cell

CIF file:
```
data_HOsN3
_symmetry_space_group_name_H-M 'P m -3 m'
_symmetry_Int_Tables_number 221
_symmetry_space_group_name_Hall '-P 4 2 3'
_cell_length_a 3.3075
_cell_length_b 3.3075
_cell_length_c 3.3075
_cell_angle_alpha 90.00
_cell_angle_beta 90.00
_cell_angle_gamma 90.00
loop_
_atom_site_label
_atom_site_fract_x
_atom_site_fract_y
_atom_site_fract_z
H1 0.0000 0.0000 0.0000
Os1 0.5000 0.5000 0.5000
N1 0.0000 0.0000 0.5000
```

Here is a relaxed structure of MoS2Cl6 from Alexandria via LeMat-Bulk. Energies are from PBE-GGA.

## Properties
Uncorrected formation energy = -0.473 eV per atom
Energy = -3.8249 eV per atom
Calculated density = 1.9 Mg/m³
Volume = 979.3 Å³ per cell

CIF file:
```
data_MoS2Cl6
_symmetry_space_group_name_H-M 'R 3'
_symmetry_Int_Tables_number 146
_symmetry_space_group_name_Hall 'R 3'
_cell_length_a 7.8462
_cell_length_b 7.8462
_cell_length_c 18.3673
_cell_angle_alpha 90.00
_cell_angle_beta 90.00
_cell_angle_gamma 120.00
loop_
_atom_site_label
_atom_site_fract_x
_atom_site_fract_y
_atom_site_fract_z
Mo1 0.0000 0.0000 0.0000
S1 0.0000 0.0000 0.2166
S2 0.0000 0.0000 0.3182
Cl1 0.0547 0.5373 0.7434
Cl2 0.1844 0.3842 0.5967
```

Here is a relaxed structure of TbHoThMg from Alexandria via LeMat-Bulk. Energies are from PBE-GGA.

## Properties
Energy = -4.5995 eV per atom
Calculated density = 8.1 Mg/m³
Volume = 118.2 Å³ per cell
Offset from the most stable computed form = 0 meV/atom

CIF file:
```
data_TbHoThMg
_symmetry_space_group_name_H-M 'P 4 m m'
_symmetry_Int_Tables_number 99
_symmetry_space_group_name_Hall 'P 4 -2'
_cell_length_a 3.5838
_cell_length_b 3.5838
_cell_length_c 9.2065
_cell_angle_alpha 90.00
_cell_angle_beta 90.00
_cell_angle_gamma 90.00
loop_
_atom_site_label
_atom_site_fract_x
_atom_site_fract_y
_atom_site_fract_z
Tb1 0.0000 0.0000 0.0000
Ho1 0.0000 0.0000 0.4799
Th1 0.5000 0.5000 0.7387
Mg1 0.5000 0.5000 0.2422
```